Record 1
# Cd2CoBr PBE optimized geometry
# * E_form (uncorrected): 382 meV/atom
data_Cd2CoBr
_symmetry_space_group_name_H-M 'P 1'
_symmetry_Int_Tables_number 1
_cell_length_a 6.3233
_cell_length_b 6.3233
_cell_length_c 6.3233
_cell_angle_alpha 102.34
_cell_angle_beta 102.34
_cell_angle_gamma 124.92
loop_
_symmetry_equiv_pos_as_xyz
'x,y,z'
loop_
_atom_site_label
_atom_site_type_symbol
_atom_site_fract_x
_atom_site_fract_y
_atom_site_fract_z
Cd1 Cd 0.0874 0.6250 0.9624
Cd2 Cd 0.3750 0.3374 0.4624
Cd3 Cd 0.6626 0.1250 0.0376
Cd4 Cd 0.8750 0.9126 0.5376
Co1 Co 0.0000 0.0000 0.0000
Co2 Co 0.7500 0.2500 0.5000
Br1 Br 0.2500 0.7500 0.5000
Br2 Br 0.5000 0.5000 0.0000

Record 2
# Cu2TeOs2 PBE optimized geometry
# * E_form (uncorrected): 779 meV/atom
data_Cu2TeOs2
_symmetry_space_group_name_H-M 'P 1'
_symmetry_Int_Tables_number 1
_cell_length_a 6.8162
_cell_length_b 6.8162
_cell_length_c 6.8162
_cell_angle_alpha 149.09
_cell_angle_beta 149.09
_cell_angle_gamma 44.28
loop_
_symmetry_equiv_pos_as_xyz
'x,y,z'
loop_
_atom_site_label
_atom_site_type_symbol
_atom_site_fract_x
_atom_site_fract_y
_atom_site_fract_z
Cu1 Cu 0.0998 0.0998 0.0000
Cu2 Cu 0.9002 0.9002 0.0000
Te1 Te 0.5000 0.5000 0.0000
Os1 Os 0.2500 0.7500 0.5000
Os2 Os 0.7500 0.2500 0.5000

Record 3
# Sm3InOs PBE optimized geometry
# * DFT formation energy: -0.1752 eV/atom
data_Sm3InOs
_symmetry_space_group_name_H-M 'P 1'
_symmetry_Int_Tables_number 1
_cell_length_a 6.8067
_cell_length_b 6.8067
_cell_length_c 8.9557
_cell_angle_alpha 110.00
_cell_angle_beta 110.00
_cell_angle_gamma 49.38
loop_
_symmetry_equiv_pos_as_xyz
'x,y,z'
loop_
_atom_site_label
_atom_site_type_symbol
_atom_site_fract_x
_atom_site_fract_y
_atom_site_fract_z
Sm1 Sm 0.1026 0.1026 0.2216
Sm2 Sm 0.1680 0.1680 0.6558
Sm3 Sm 0.3882 0.3882 0.1095
Sm4 Sm 0.6118 0.6118 0.8905
Sm5 Sm 0.8320 0.8320 0.3442
Sm6 Sm 0.8974 0.8974 0.7784
In1 In 0.3878 0.3878 0.5314
In2 In 0.6122 0.6122 0.4686
Os1 Os 0.1444 0.1444 0.9418
Os2 Os 0.8556 0.8556 0.0582

Record 4
# BaBe2Br PBE optimized geometry
# * E_form (uncorrected): 16 meV/atom
data_BaBe2Br
_symmetry_space_group_name_H-M 'P 1'
_symmetry_Int_Tables_number 1
_cell_length_a 5.8041
_cell_length_b 5.8041
_cell_length_c 4.9324
_cell_angle_alpha 105.21
_cell_angle_beta 105.21
_cell_angle_gamma 43.55
loop_
_symmetry_equiv_pos_as_xyz
'x,y,z'
loop_
_atom_site_label
_atom_site_type_symbol
_atom_site_fract_x
_atom_site_fract_y
_atom_site_fract_z
Ba1 Ba 0.0000 0.0000 0.0000
Be1 Be 0.2735 0.2735 0.5109
Be2 Be 0.7265 0.7265 0.4891
Br1 Br 0.5000 0.5000 0.5000

Energy above the most stable polymorph in this dataset for the records above, in order: 272; 0; 107; 5 meV/atom
Total magnetic moment for the records above, in order: 1.95; 0.00; 0.00; 0.00 μB per formula unit